First-principles (GGA-PBE) data for crystalline Ho3Tl2Ag2 at its relaxed geometry, as listed in Alexandria via LeMat-Bulk.

```
14
Lattice="4.545 0.000 0.000 0.000 22.004 0.000 0.000 0.000 3.478" Properties=species:S:1:pos:R:3 pbc="T T T"
Ho 0.000 0.000 0.000
Ho 0.000 3.562 0.000
Ho 0.000 18.442 0.000
Ho 2.272 7.440 0.000
Ho 2.272 11.002 0.000
Ho 2.272 14.564 0.000
Tl 0.000 9.272 1.739
Tl 0.000 12.732 1.739
Tl 2.272 1.730 1.739
Tl 2.272 20.274 1.739
Ag 0.000 6.276 1.739
Ag 0.000 15.728 1.739
Ag 2.272 4.726 1.739
Ag 2.272 17.278 1.739
```

Computed properties:
**V**: 24.8 Å³/atom
**Raw total energy**: -3.74 eV/atom